Na5SnP3 | PBE-GGA | optimized geometry

Energy of formation from the pure elements   -0.283 eV/atom
Space-group type   C2/c, No. 15

Geometry as POSCAR:
```
Na5SnP3
1.0
7.4499 -3.3348 0.0000
7.4499 3.3348 0.0000
-2.9231 0.0000 8.9846
Na Sn P
10 2 6
direct
0.0747 0.5881 0.9053
0.0894 0.5866 0.4352
0.2450 0.7550 0.7500
0.4119 0.9253 0.5947
0.4134 0.9106 0.0648
0.5866 0.0894 0.9352
0.5881 0.0747 0.4053
0.7550 0.2450 0.2500
0.9106 0.4134 0.5648
0.9253 0.4119 0.0947
0.2489 0.7511 0.2500
0.7511 0.2489 0.7500
0.1070 0.1958 0.8199
0.1958 0.1070 0.3199
0.5000 0.5000 0.0000
0.5000 0.5000 0.5000
0.8042 0.8930 0.6801
0.8930 0.8042 0.1801
```